Material: SmCrSbO6
Method: DFT, PBE with a Hubbard U
State: relaxed

Unit cell a=5.1988 b=5.1988 c=10.0795 alpha=90.00 beta=90.00 gamma=120.00
Closest atoms and distances in Å follow each position.
Fractional coordinates of all 18 atoms:
Sm (0.0000, 0.0000, 0.0000)  6 O 2.37
Sm (0.0000, 0.0000, 0.5000)  6 O 2.37
Cr (0.3333, 0.6667, 0.2500)  6 O 1.95
Cr (0.6667, 0.3333, 0.7500)  6 O 1.95
Sb (0.6667, 0.3333, 0.2500)  6 O 2.01
Sb (0.3333, 0.6667, 0.7500)  6 O 2.01
O (0.6319, 0.6405, 0.1425)  1 Cr 1.95, 1 Sb 2.01
O (0.0086, 0.3681, 0.1425)  1 Cr 1.95, 1 Sb 2.01
O (0.3681, 0.0086, 0.6425)  1 Cr 1.95, 1 Sb 2.01
O (0.9914, 0.6319, 0.8575)  1 Cr 1.95, 1 Sb 2.01
O (0.3595, 0.3681, 0.3575)  1 Cr 1.95, 1 Sb 2.01
O (0.0086, 0.6405, 0.3575)  1 Cr 1.95, 1 Sb 2.01
O (0.6405, 0.0086, 0.8575)  1 Cr 1.95, 1 Sb 2.01
O (0.6319, 0.9914, 0.3575)  1 Cr 1.95, 1 Sb 2.01
O (0.9914, 0.3595, 0.6425)  1 Cr 1.95, 1 Sb 2.01
O (0.3595, 0.9914, 0.1425)  1 Cr 1.95, 1 Sb 2.01
O (0.6405, 0.6319, 0.6425)  1 Cr 1.95, 1 Sb 2.01
O (0.3681, 0.3595, 0.8575)  1 Cr 1.95, 1 Sb 2.01

Calculated values
DFT total energy, Ry per atom: -0.5301
Symmetry: No. 163